[1]
# CaNdMgZn PBE-GGA relaxed
data_CaNdMgZn
_space_group_name_H-M_alt 'P 1'
_space_group_IT_number 1
_space_group_name_Hall 'P 1'
_cell_length_a 5.364
_cell_length_b 5.364
_cell_length_c 5.364
_cell_angle_alpha 60.00
_cell_angle_beta 60.00
_cell_angle_gamma 60.00
loop_
_atom_site_label
_atom_site_fract_x
_atom_site_fract_y
_atom_site_fract_z
_atom_site_occupancy
Zn1 0.000 0.000 0.000 1
Mg1 0.500 0.500 0.500 1
Ca1 0.250 0.250 0.250 1
Nd1 0.750 0.750 0.750 1
# E above lowest polymorph = 17.2 meV/atom
# Crystal system = cubic
# Energy of formation = -0.16 eV per atom



[2]
# CaNdMgZn PBE-GGA relaxed
data_CaNdMgZn
_space_group_name_H-M_alt 'P 1'
_space_group_IT_number 1
_space_group_name_Hall 'P 1'
_cell_length_a 3.747
_cell_length_b 3.747
_cell_length_c 7.881
_cell_angle_alpha 90.00
_cell_angle_beta 90.00
_cell_angle_gamma 90.00
loop_
_atom_site_label
_atom_site_fract_x
_atom_site_fract_y
_atom_site_fract_z
_atom_site_occupancy
Zn1 0.500 0.500 0.114 1
Ca1 0.000 0.000 0.881 1
Mg1 0.500 0.500 0.603 1
Nd1 0.000 0.000 0.330 1
# E above lowest polymorph = 0.0 meV/atom
# Crystal system = tetragonal
# Energy of formation = -0.18 eV per atom



[3]
# CaMgNi2 PBE-GGA relaxed
data_CaMgNi2
_space_group_name_H-M_alt 'P 1'
_space_group_IT_number 1
_space_group_name_Hall 'P 1'
_cell_length_a 4.570
_cell_length_b 4.566
_cell_length_c 3.248
_cell_angle_alpha 90.00
_cell_angle_beta 90.00
_cell_angle_gamma 90.00
loop_
_atom_site_label
_atom_site_fract_x
_atom_site_fract_y
_atom_site_fract_z
_atom_site_occupancy
Ni1 0.000 0.000 0.000 1
Mg1 0.000 0.500 0.500 1
Ca1 0.500 0.000 0.500 1
Ni2 0.500 0.500 0.000 1
# Crystal system = tetragonal
# Energy of formation = 0.02 eV per atom



[4]
# CaMgNi PBE-GGA relaxed
data_CaMgNi
_space_group_name_H-M_alt 'P 1'
_space_group_IT_number 1
_space_group_name_Hall 'P 1'
_cell_length_a 4.456
_cell_length_b 4.456
_cell_length_c 3.916
_cell_angle_alpha 90.00
_cell_angle_beta 90.00
_cell_angle_gamma 120.00
loop_
_atom_site_label
_atom_site_fract_x
_atom_site_fract_y
_atom_site_fract_z
_atom_site_occupancy
Ni1 0.333 0.667 0.500 1
Mg1 0.667 0.333 0.500 1
Ca1 0.000 0.000 0.000 1
# Crystal system = hexagonal
# Energy of formation = 0.01 eV per atom



[5]
# CaMg3Ni PBE-GGA relaxed
data_CaMg3Ni
_space_group_name_H-M_alt 'P 1'
_space_group_IT_number 1
_space_group_name_Hall 'P 1'
_cell_length_a 4.928
_cell_length_b 4.928
_cell_length_c 4.928
_cell_angle_alpha 90.00
_cell_angle_beta 90.00
_cell_angle_gamma 90.00
loop_
_atom_site_label
_atom_site_fract_x
_atom_site_fract_y
_atom_site_fract_z
_atom_site_occupancy
Mg1 0.500 0.000 0.000 1
Mg2 0.000 0.500 0.000 1
Ni1 0.000 0.000 0.000 1
Ca1 0.500 0.500 0.500 1
Mg3 0.000 0.000 0.500 1
# E above lowest polymorph = 76.0 meV/atom
# Crystal system = cubic
# Energy of formation = -0.06 eV per atom



[6]
# Ca3MgNi14 PBE-GGA relaxed
data_Ca3MgNi14
_space_group_name_H-M_alt 'P 1'
_space_group_IT_number 1
_space_group_name_Hall 'P 1'
_cell_length_a 4.941
_cell_length_b 4.941
_cell_length_c 12.233
_cell_angle_alpha 78.34
_cell_angle_beta 78.34
_cell_angle_gamma 59.99
loop_
_atom_site_label
_atom_site_fract_x
_atom_site_fract_y
_atom_site_fract_z
_atom_site_occupancy
Ni1 0.500 0.500 0.000 1
Ca1 0.052 0.052 0.844 1
Ni2 0.611 0.611 0.668 1
Ni3 0.000 0.500 0.000 1
Ni4 0.611 0.109 0.668 1
Ni5 0.389 0.389 0.833 1
Ca2 0.946 0.946 0.161 1
Ca3 0.150 0.150 0.550 1
Ni6 0.109 0.611 0.668 1
Ni7 0.722 0.722 0.833 1
Ni8 0.390 0.390 0.332 1
Ni9 0.611 0.611 0.166 1
Ni10 0.889 0.390 0.332 1
Ni11 0.500 0.500 0.499 1
Mg1 0.852 0.852 0.444 1
Ni12 0.390 0.889 0.332 1
Ni13 0.500 0.000 0.000 1
Ni14 0.278 0.278 0.167 1
# Crystal system = trigonal
# Energy of formation = -0.14 eV per atom